Crystalline LiTcPb2 at its relaxed geometry, computed with GGA-PBEsol.

**Energy of formation from the pure elements**: 0.32 eV per atom

The structure in POSCAR format:
```
LiTcPb2
1.0
4.736 0.000 0.000
-2.368 4.152 -0.058
0.000 -2.647 3.928
Tc Pb Li
1 2 1
Direct
0.000 0.000 0.000
0.750 0.500 0.250
0.250 0.500 0.750
0.500 0.000 0.500
```


Crystalline Ba2CaCuMo2F14 at its relaxed geometry, computed with GGA-PBEsol.

**Raw formation energy**: -2.907 eV per atom

The structure in POSCAR format:
```
Ba2CaCuMo2F14
1.0
5.399 0.000 0.000
-2.700 7.045 -0.042
0.000 -0.233 15.121
F Mo Ba Cu Ca
28 4 4 2 2
Direct
0.362 0.523 0.395
0.161 0.523 0.895
0.426 0.301 0.956
0.574 0.699 0.044
0.370 0.325 0.773
0.630 0.675 0.227
0.289 0.189 0.486
0.125 0.699 0.544
0.914 0.017 0.156
0.955 0.325 0.273
0.455 0.085 0.117
0.897 0.983 0.344
0.899 0.189 0.986
0.169 0.761 0.218
0.086 0.983 0.844
0.831 0.239 0.782
0.045 0.675 0.727
0.407 0.239 0.282
0.593 0.761 0.718
0.638 0.477 0.605
0.711 0.811 0.514
0.630 0.085 0.617
0.545 0.915 0.883
0.103 0.017 0.656
0.370 0.915 0.383
0.101 0.811 0.014
0.839 0.477 0.105
0.875 0.301 0.456
0.858 0.749 0.625
0.109 0.251 0.875
0.891 0.749 0.125
0.142 0.251 0.375
0.739 0.639 0.878
0.261 0.361 0.122
0.100 0.361 0.622
0.900 0.639 0.378
0.500 0.000 0.000
0.500 0.000 0.500
0.565 0.000 0.250
0.435 0.000 0.750
```


Crystalline Li2MnCoO4 at its relaxed geometry, computed with GGA-PBEsol.

**Raw formation energy**: -1.652 eV per atom

The structure in POSCAR format:
```
Li2MnCoO4
1.0
-0.879 3.676 -3.204
-3.341 -3.216 -1.533
-3.121 1.202 4.576
Li O Mn Co
4 8 2 2
Direct
0.502 0.249 0.871
0.510 0.753 0.634
0.492 0.753 0.121
0.498 0.244 0.374
0.218 0.370 0.549
0.248 0.858 0.333
0.216 0.877 0.804
0.214 0.373 0.045
0.779 0.625 0.949
0.776 0.628 0.444
0.768 0.139 0.674
0.778 0.128 0.198
0.003 0.507 0.249
0.999 0.998 0.501
0.996 0.500 0.747
0.003 0.998 0.009
```


Crystalline AlRhS2N at its relaxed geometry, computed with GGA-PBEsol.

**Raw formation energy**: 0.296 eV per atom

The structure in POSCAR format:
```
AlRhS2N
1.0
-0.294 3.557 0.285
-1.402 0.248 -4.548
-4.538 -0.484 1.373
N S Al Rh
1 2 1 1
Direct
0.500 0.000 0.000
0.000 0.000 0.500
0.000 0.500 0.000
0.500 0.500 0.500
0.000 0.000 0.000
```


Crystalline LiGe2Ir at its relaxed geometry, computed with GGA-PBEsol.

**Energy of formation from the pure elements**: -0.35 eV per atom

The structure in POSCAR format:
```
LiGe2Ir
1.0
4.298 0.000 0.000
2.149 3.722 0.000
2.149 1.241 3.510
Ge Li Ir
2 1 1
Direct
0.250 0.250 0.250
0.750 0.750 0.750
0.000 0.000 0.000
0.500 0.500 0.500
```


Crystalline Ba2AgAs at its relaxed geometry, computed with GGA-PBEsol.

**Energy of formation from the pure elements**: -0.60 eV per atom

The structure in POSCAR format:
```
Ba2AgAs
1.0
-2.519 0.026 4.033
3.845 -2.770 -0.382
4.853 6.712 0.184
Ba Ag As
2 1 1
Direct
0.979 0.240 0.219
0.021 0.760 0.781
0.500 0.000 0.500
0.500 0.500 0.000
```


Crystalline FeNi2Ir at its relaxed geometry, computed with GGA-PBEsol.

**Energy of formation from the pure elements**: -0.01 eV per atom

The structure in POSCAR format:
```
FeNi2Ir
1.0
2.583 0.000 0.000
0.000 4.121 0.000
0.000 0.000 4.393
Fe Ir Ni
1 1 2
Direct
0.500 0.000 0.545
0.500 0.500 0.205
0.000 0.500 0.711
0.000 0.000 0.038
```


Crystalline SiB2Te at its relaxed geometry, computed with GGA-PBEsol.

**Raw formation energy**: 0.265 eV per atom

The structure in POSCAR format:
```
SiB2Te
1.0
-1.524 3.978 -2.539
-4.231 0.030 2.586
4.972 0.964 3.370
B Si Te
4 2 2
Direct
0.125 0.162 0.750
0.838 0.375 0.250
0.625 0.588 0.750
0.412 0.875 0.250
0.500 0.500 0.000
0.750 0.250 0.500
0.250 0.750 0.500
0.000 0.000 0.000
```


Crystalline TlHg2Au at its relaxed geometry, computed with GGA-PBEsol.

**Energy of formation from the pure elements**: 0.04 eV per atom

The structure in POSCAR format:
```
TlHg2Au
1.0
3.378 0.000 0.000
0.000 3.378 0.000
0.000 0.000 7.890
Hg Au Tl
2 1 1
Direct
0.000 0.000 0.286
0.000 0.000 0.714
0.500 0.500 0.500
0.500 0.500 0.000
```


Crystalline InB3Te at its relaxed geometry, computed with GGA-PBEsol.

**Raw formation energy**: 2.041 eV per atom

The structure in POSCAR format:
```
InB3Te
1.0
4.451 0.000 0.000
0.000 4.451 0.000
0.000 0.000 4.451
B Te In
3 1 1
Direct
0.000 0.500 0.000
0.500 0.000 0.000
0.000 0.000 0.500
0.000 0.000 0.000
0.500 0.500 0.500
```


Crystalline LiTc2Sb at its relaxed geometry, computed with GGA-PBEsol.

**Raw formation energy**: 0.224 eV per atom

The structure in POSCAR format:
```
LiTc2Sb
1.0
3.251 0.000 0.000
0.000 4.284 0.000
-1.626 -2.142 4.262
Sb Tc Li
1 2 1
Direct
0.500 0.000 0.000
0.747 0.747 0.495
0.253 0.253 0.505
0.000 0.500 0.000
```


Crystalline KCu2Os at its relaxed geometry, computed with GGA-PBEsol.

**Energy of formation from the pure elements**: 1.43 eV per atom

The structure in POSCAR format:
```
KCu2Os
1.0
-2.662 1.775 -1.955
-2.636 -1.638 2.103
2.819 3.379 2.824
Os K Cu
1 1 2
Direct
0.250 0.750 0.500
0.500 0.500 0.000
0.000 0.000 0.000
0.750 0.250 0.500
```


Crystalline AgAu5 at its relaxed geometry, computed with GGA-PBEsol.

**Energy of formation from the pure elements**: -0.02 eV per atom

The structure in POSCAR format:
```
AgAu5
1.0
-1.864 1.453 -1.616
-3.567 -2.618 1.760
0.023 4.189 6.277
Au Ag
5 1
Direct
0.666 0.000 0.332
0.222 0.500 0.443
0.889 0.500 0.778
0.334 0.000 0.669
0.555 0.500 0.110
0.000 0.000 0.000
```